Material: CsAcP2O8
Method: DFT, PBE
State: optimized geometry

Calculated values
Space group: P-3m1, No. 164
Final energy: -6.9168 eV per atom
Theoretical density: 3.43 g/cm3
Formation energy (no corrections): -2296 meV per atom
Volume: 265.90 Å³ per cell

Cell lengths 5.871, 5.871, 8.908 Å; angles 90.00, 90.00, 120.00 degrees
Atoms (fractional coordinates):
O 0.189 0.810 0.675
O 0.810 0.621 0.325
Ac 0.000 0.000 0.500
Cs 0.000 0.000 0.000
O 0.379 0.189 0.325
O 0.333 0.667 0.905
P 0.333 0.667 0.731
O 0.667 0.333 0.095
O 0.621 0.811 0.675
P 0.667 0.333 0.269
O 0.190 0.379 0.675
O 0.811 0.190 0.325